Record 1
Compound: Ho2ScSi3Pt4
Source: Alexandria
Functional: GGA-PBE
Structure: relaxed

Calculated values
* raw total energy: -0.24601 Ha/atom
* E_form (uncorrected): -11.02 eV per formula unit

Unit cell a=4.1008 b=4.1008 c=10.8558 alpha=90.00 beta=90.00 gamma=90.00
Sites, in units of the cell vectors:
Ho (0.0000, 0.5000, 0.2311)
Ho (0.5000, 0.0000, 0.7689)
Sc (0.0000, 0.0000, 0.5000)
Si (0.0000, 0.5000, 0.8702)
Si (0.5000, 0.0000, 0.1298)
Si (0.5000, 0.5000, 0.5000)
Pt (0.0000, 0.0000, 0.0000)
Pt (0.0000, 0.5000, 0.6522)
Pt (0.5000, 0.0000, 0.3478)
Pt (0.5000, 0.5000, 0.0000)

Record 2
Compound: Ho2ScSi4Pt3
Source: Alexandria
Functional: GGA-PBE
Structure: relaxed

Calculated values
* raw total energy: -0.24091 Ha/atom
* E_form (uncorrected): -10.25 eV per formula unit

Unit cell a=4.1078 b=4.1078 c=10.7297 alpha=90.00 beta=90.00 gamma=90.00
Sites, in units of the cell vectors:
Ho (0.0000, 0.5000, 0.2422)
Ho (0.5000, 0.0000, 0.7578)
Sc (0.0000, 0.0000, 0.5000)
Si (0.0000, 0.0000, 0.0000)
Si (0.0000, 0.5000, 0.6545)
Si (0.5000, 0.0000, 0.3455)
Si (0.5000, 0.5000, 0.0000)
Pt (0.0000, 0.5000, 0.8793)
Pt (0.5000, 0.0000, 0.1207)
Pt (0.5000, 0.5000, 0.5000)

Record 3
Compound: HoScSi2Pt5
Source: Alexandria
Functional: GGA-PBE
Structure: relaxed

Calculated values
* raw total energy: -0.24498 Ha/atom
* E_form (uncorrected): -8.04 eV per formula unit

Unit cell a=4.0329 b=4.0329 c=10.9821 alpha=90.00 beta=90.00 gamma=90.00
Sites, in units of the cell vectors:
Ho (0.0000, 0.0000, 0.0000)
Sc (0.0000, 0.0000, 0.5000)
Si (0.5000, 0.5000, 0.2125)
Si (0.5000, 0.5000, 0.7875)
Pt (0.0000, 0.5000, 0.3252)
Pt (0.0000, 0.5000, 0.6748)
Pt (0.5000, 0.0000, 0.3252)
Pt (0.5000, 0.0000, 0.6748)
Pt (0.5000, 0.5000, 0.0000)

Record 4
Compound: HoScSnPt
Source: Alexandria
Functional: GGA-PBE
Structure: relaxed

Calculated values
* raw total energy: -0.22300 Ha/atom

Unit cell a=7.0663 b=7.0663 c=7.0663 alpha=90.00 beta=90.00 gamma=90.00
Sites, in units of the cell vectors:
Ho (0.0000, 0.0000, 0.0000)
Ho (0.0000, 0.5000, 0.5000)
Ho (0.5000, 0.0000, 0.5000)
Ho (0.5000, 0.5000, 0.0000)
Sc (0.0000, 0.0000, 0.5000)
Sc (0.0000, 0.5000, 0.0000)
Sc (0.5000, 0.0000, 0.0000)
Sc (0.5000, 0.5000, 0.5000)
Sn (0.2500, 0.2500, 0.7500)
Sn (0.2500, 0.7500, 0.2500)
Sn (0.7500, 0.2500, 0.2500)
Sn (0.7500, 0.7500, 0.7500)
Pt (0.2500, 0.2500, 0.2500)
Pt (0.2500, 0.7500, 0.7500)
Pt (0.7500, 0.2500, 0.7500)
Pt (0.7500, 0.7500, 0.2500)

Record 5
Compound: HoTmScPt
Source: Alexandria
Functional: GGA-PBE
Structure: relaxed

Calculated values
* raw total energy: -0.21177 Ha/atom

Unit cell a=7.1452 b=7.1452 c=7.1452 alpha=90.00 beta=90.00 gamma=90.00
Sites, in units of the cell vectors:
Ho (0.0000, 0.0000, 0.0000)
Ho (0.0000, 0.5000, 0.5000)
Ho (0.5000, 0.0000, 0.5000)
Ho (0.5000, 0.5000, 0.0000)
Tm (0.0000, 0.0000, 0.5000)
Tm (0.0000, 0.5000, 0.0000)
Tm (0.5000, 0.0000, 0.0000)
Tm (0.5000, 0.5000, 0.5000)
Sc (0.2500, 0.2500, 0.7500)
Sc (0.2500, 0.7500, 0.2500)
Sc (0.7500, 0.2500, 0.2500)
Sc (0.7500, 0.7500, 0.7500)
Pt (0.2500, 0.2500, 0.2500)
Pt (0.2500, 0.7500, 0.7500)
Pt (0.7500, 0.2500, 0.7500)
Pt (0.7500, 0.7500, 0.2500)

Record 6
Compound: HoScZnPt
Source: Alexandria
Functional: GGA-PBE
Structure: relaxed

Calculated values
* raw total energy: -0.19657 Ha/atom

Unit cell a=6.8392 b=6.8392 c=6.8392 alpha=90.00 beta=90.00 gamma=90.00
Sites, in units of the cell vectors:
Ho (0.0000, 0.0000, 0.0000)
Ho (0.0000, 0.5000, 0.5000)
Ho (0.5000, 0.0000, 0.5000)
Ho (0.5000, 0.5000, 0.0000)
Sc (0.0000, 0.0000, 0.5000)
Sc (0.0000, 0.5000, 0.0000)
Sc (0.5000, 0.0000, 0.0000)
Sc (0.5000, 0.5000, 0.5000)
Zn (0.2500, 0.2500, 0.7500)
Zn (0.2500, 0.7500, 0.2500)
Zn (0.7500, 0.2500, 0.2500)
Zn (0.7500, 0.7500, 0.7500)
Pt (0.2500, 0.2500, 0.2500)
Pt (0.2500, 0.7500, 0.7500)
Pt (0.7500, 0.2500, 0.7500)
Pt (0.7500, 0.7500, 0.2500)